# ZrFe2SiO GGA+U relaxed
data_ZrFe2SiO
_chemical_formula_sum 'Zr1 Fe2 Si1 O1'
_space_group_name_H-M_alt 'P 1'
_space_group_IT_number 1
_cell_length_a 5.3825
_cell_length_b 5.3825
_cell_length_c 3.9299
_cell_angle_alpha 90.00
_cell_angle_beta 90.00
_cell_angle_gamma 90.00
loop_
_space_group_symop_operation_xyz
'x,y,z'
loop_
_atom_site_label
_atom_site_type_symbol
_atom_site_fract_x
_atom_site_fract_y
_atom_site_fract_z
_atom_site_occupancy
Zr1 Zr 0.0000 0.0000 0.0000 1
Fe1 Fe 0.0000 0.5000 0.0000 1
Fe2 Fe 0.5000 0.0000 0.0000 1
Si1 Si 0.5000 0.5000 0.5000 1
O1 O 0.0000 0.0000 0.5000 1
# Calculated volume (Å³ per atom): 22.77
# E_tot (eV/atom): -5.4554